[1]
Compound: NpMnInRh
Source: Alexandria via LeMat-Bulk
Functional: PBE
Structure: relaxed

Cell lengths 6.652, 6.652, 6.652 Å; angles 90.00, 90.00, 90.00 degrees
Space group F-43m (No. 216)
Unique sites:
Np 0.000 0.000 0.000
Mn 0.250 0.250 0.750
In 0.000 0.000 0.500
Rh 0.250 0.250 0.250

Results
As for the formation energy: -0.1012 eV/atom. The value obtained for the volume is 294 Å³ per cell. For the uncorrected energy, the calculation gives -8.15 eV/atom. The calculation puts the theoretical density at 11.5 g/cm3. The density of states at the Fermi level is 4.5 states/eV/f.u.

***

[2]
Compound: Ba2CaAl
Source: Alexandria via LeMat-Bulk
Functional: PBE
Structure: relaxed

Cell lengths 5.978, 5.978, 4.644 Å; angles 90.00, 90.00, 90.00 degrees
Space group P4/mmm (No. 123)
Unique sites:
Ba 0.000 0.500 0.000
Ca 0.000 0.000 0.500
Al 0.500 0.500 0.500

Results
As for the formation energy: 0.0405 eV/atom. The value obtained for the volume is 166 Å³ per cell. For the uncorrected energy, the calculation gives -2.36 eV/atom. The calculation puts the theoretical density at 3.4 g/cm3. The density of states at the Fermi level is 3.0 states/eV/f.u.